A relaxed structure of PrY2Er4. Source: Alexandria via LeMat-Bulk, functional PBE.

a b c (Å): 7.063 8.579 8.777
angles (deg): 114.42 101.57 101.93
Sites, in units of the cell vectors:
Pr (0.000, 0.000, 0.000)
Pr (0.475, 0.182, 0.720)
Y (0.359, 0.584, 0.861)
Y (0.680, 0.292, 0.424)
Y (0.889, 0.414, 0.137)
Y (0.973, 0.174, 0.719)
Er (0.081, 0.735, 0.590)
Er (0.182, 0.300, 0.428)
Er (0.278, 0.844, 0.265)
Er (0.387, 0.411, 0.138)
Er (0.500, 0.003, 0.994)
Er (0.580, 0.733, 0.588)
Er (0.776, 0.841, 0.264)
Er (0.862, 0.582, 0.857)

- Final energy: -5.090 eV per atom
- SG: P1, No. 1
- Crystal system: triclinic